[1]
Here is a relaxed structure of YZr3Be from Alexandria. Energies are from PBE.

Values from the calculation:
energy of formation from the pure elements: 8.9 eV per formula unit
raw total energy: -5.39 eV per atom

Cell lengths 5.162, 5.162, 5.162 Å; angles 90.00, 90.00, 90.00 degrees
Space group Pm-3m (No. 221)
One atom of each set of equivalent atoms:
1 Y 0.000 0.000 0.000
2 Zr 0.000 0.000 0.500
3 Be 0.500 0.500 0.500


[2]
Here is a relaxed structure of Y3ZrBe from Alexandria. Energies are from PBE.

Values from the calculation:
energy of formation from the pure elements: 5.5 eV per formula unit
raw total energy: -5.24 eV per atom

Cell lengths 5.454, 5.454, 5.454 Å; angles 90.00, 90.00, 90.00 degrees
Space group Pm-3m (No. 221)
One atom of each set of equivalent atoms:
1 Y 0.000 0.000 0.500
2 Zr 0.000 0.000 0.000
3 Be 0.500 0.500 0.500


[3]
Here is a relaxed structure of YZr3Be from Alexandria. Energies are from PBE.

Values from the calculation:
energy of formation from the pure elements: 1.5 eV per formula unit
raw total energy: -6.86 eV per atom

Cell lengths 4.906, 4.906, 4.906 Å; angles 90.00, 90.00, 90.00 degrees
Space group Pm-3m (No. 221)
One atom of each set of equivalent atoms:
1 Y 0.000 0.000 0.000
2 Zr 0.000 0.500 0.500
3 Be 0.500 0.500 0.500


[4]
Here is a relaxed structure of YZr2Be from Alexandria. Energies are from PBE.

Values from the calculation:
energy of formation from the pure elements: 0.9 eV per formula unit
raw total energy: -6.59 eV per atom

Cell lengths 4.302, 4.302, 9.229 Å; angles 90.00, 90.00, 90.00 degrees
Space group I4/mmm (No. 139)
One atom of each set of equivalent atoms:
1 Y 0.000 0.000 0.000
2 Zr 0.000 0.500 0.250
3 Be 0.000 0.000 0.500


[5]
Here is a relaxed structure of Y3ZrBe from Alexandria. Energies are from PBE.

Values from the calculation:
energy of formation from the pure elements: 2.3 eV per formula unit
raw total energy: -5.88 eV per atom

Cell lengths 5.216, 5.216, 5.216 Å; angles 90.00, 90.00, 90.00 degrees
Space group Pm-3m (No. 221)
One atom of each set of equivalent atoms:
1 Y 0.000 0.000 0.500
2 Zr 0.500 0.500 0.500
3 Be 0.000 0.000 0.000


[6]
Here is a relaxed structure of YZr2Be from Alexandria. Energies are from PBE.

Values from the calculation:
energy of formation from the pure elements: 1.1 eV per formula unit
raw total energy: -6.56 eV per atom

Cell lengths 3.324, 4.646, 5.936 Å; angles 90.00, 105.53, 90.00 degrees
Space group P2/m (No. 10)
One atom of each set of equivalent atoms:
1 Y 0.000 0.000 0.000
2 Zr 0.335 0.500 0.717
3 Be 0.500 0.000 0.500